## w
Sr2CdSn: optimized geometry, PBE.

Calculated values
**V**: 32.9 Å³ per atom

a = 8.052 Å, b = 5.715 Å, c = 11.430 Å
α = 90.00°, β = 90.00°, γ = 90.00°
Fractional positions:
Cd 0.750 0.250 0.124
Cd 0.250 0.750 0.376
Cd 0.750 0.250 0.624
Cd 0.250 0.750 0.876
Sn 0.250 0.250 0.124
Sn 0.750 0.750 0.376
Sn 0.250 0.250 0.624
Sn 0.750 0.750 0.876
Sr 0.000 0.750 0.126
Sr 0.500 0.750 0.126
Sr 0.000 0.250 0.374
Sr 0.500 0.250 0.374
Sr 0.500 0.750 0.626
Sr 0.000 0.750 0.626
Sr 0.500 0.250 0.874
Sr 0.000 0.250 0.874



## x
Sr2CdSn: optimized geometry, PBE.

Calculated values
**V**: 32.6 Å³ per atom

a = 5.692 Å, b = 5.692 Å, c = 5.692 Å
α = 60.00°, β = 60.00°, γ = 60.00°
Fractional positions:
Cd 0.500 0.500 0.500
Sn 0.750 0.750 0.750
Sr 0.000 0.000 0.000
Sr 0.250 0.250 0.250



## y
Sr2CdSn: optimized geometry, PBE.

Calculated values
**V**: 32.7 Å³ per atom

a = 5.575 Å, b = 5.575 Å, c = 4.202 Å
α = 90.00°, β = 90.00°, γ = 90.00°
Fractional positions:
Cd 0.500 0.500 0.000
Sn 0.000 0.000 0.000
Sr 0.500 0.000 0.500
Sr 0.000 0.500 0.500



Which of them is the most stable, and which is the least stable? w and x, in that order.